# 1
Density functional theory data (PBE-GGA) for a relaxed Ce3SmTh4P8 crystal.

Cell lengths 8.2493, 8.2493, 20.1552 Å; angles 90.00, 90.00, 120.00 degrees
Closest atoms and distances in Å follow each position.
Space group R-3m (No. 166, hexagonal axes)
Asymmetric unit:
Ce  0.0000  0.5000  0.0000 x9  6 P 2.90
Sm  0.0000  0.0000  0.0000 x3  6 P 2.91
Th  0.0000  0.0000  0.5000 x3  6 P 2.92
Th  0.0000  0.5000  0.5000 x9  6 P 2.93
P  0.0000  0.0000  0.2510 x6  3 Ce 2.90, 3 Th 2.93
P  0.0012  0.5006  0.2508 x18  2 Ce 2.90, 1 Sm 2.91, 3 Th 2.92-2.93

Density of states at the Fermi level in states/eV per cell: 51.0
ρ in Mg/m³: 7.33
Calculated formation energy in eV/f.u.: -24.8

# 2
Density functional theory data (PBE-GGA) for a relaxed Ce3Sm2ThP6 crystal.

Cell lengths 7.1118, 12.3171, 7.1192 Å; angles 90.00, 109.44, 90.00 degrees
Closest atoms and distances in Å follow each position.
Space group C2/m (No. 12)
Asymmetric unit:
Ce  0.0000  0.0000  0.0000 x2  6 P 2.89-2.90
Ce  0.0000  0.3329  0.0000 x4  6 P 2.89-2.90
Sm  0.0000  0.1666  0.5000 x4  6 P 2.92
Th  0.0000  0.5000  0.5000 x2  6 P 2.91
P  0.2493  0.1664  0.2472 x8  3 Ce 2.89, 1 Th 2.91, 2 Sm 2.92
P  0.2485  0.5000  0.2474 x4  3 Ce 2.90, 1 Th 2.91, 2 Sm 2.92

Density of states at the Fermi level in states/eV per cell: 28.7
ρ in Mg/m³: 6.43
Calculated formation energy in eV/f.u.: -18.6

# 3
Density functional theory data (PBE-GGA) for a relaxed Ce2SmTh3P6 crystal.

Cell lengths 7.1432, 12.3715, 7.1294 Å; angles 90.00, 109.50, 90.00 degrees
Closest atoms and distances in Å follow each position.
Space group C2/m (No. 12)
Asymmetric unit:
Ce  0.0000  0.1665  0.0000 x4  6 P 2.90
Sm  0.0000  0.5000  0.0000 x2  6 P 2.91-2.92
Th  0.0000  0.0000  0.5000 x2  6 P 2.91-2.93
Th  0.0000  0.3339  0.5000 x4  6 P 2.92-2.93
P  0.2476  0.0000  0.2477 x4  2 Ce 2.90, 3 Th 2.91-2.92, 1 Sm 2.91
P  0.2500  0.1676  0.7525 x8  2 Ce 2.90, 1 Sm 2.92, 3 Th 2.92-2.93

Density of states at the Fermi level in states/eV per cell: 23.3
ρ in Mg/m³: 7.34
Calculated formation energy in eV/f.u.: -18.6

# 4
Density functional theory data (PBE-GGA) for a relaxed Ce3Sm2TmP6 crystal.

Cell lengths 7.0537, 12.2193, 7.0418 Å; angles 90.00, 109.52, 90.00 degrees
Closest atoms and distances in Å follow each position.
Space group C2/m (No. 12)
Asymmetric unit:
Ce  0.0000  0.0000  0.0000 x2  6 P 2.86-2.91
Ce  0.0000  0.3323  0.0000 x4  6 P 2.86-2.90
Sm  0.0000  0.1663  0.5000 x4  6 P 2.89-2.90
Tm  0.0000  0.5000  0.5000 x2  6 P 2.85
P  0.2439  0.5000  0.2490 x4  1 Tm 2.85, 3 Ce 2.87-2.91, 2 Sm 2.90
P  0.2471  0.3361  0.7499 x8  1 Tm 2.85, 3 Ce 2.86-2.90, 2 Sm 2.89-2.90

Density of states at the Fermi level in states/eV per cell: 28.2
ρ in Mg/m³: 6.25
Calculated formation energy in eV/f.u.: -18.5

# 5
Density functional theory data (PBE-GGA) for a relaxed CeSmTm2P4 crystal.

Cell lengths 6.9491, 4.0243, 6.9687 Å; angles 90.00, 109.44, 90.00 degrees
Closest atoms and distances in Å follow each position.
Space group P2/m (No. 10)
Asymmetric unit:
Ce  0.0000  0.0000  0.0000 x1  6 P 2.86-2.87
Sm  0.0000  0.5000  0.5000 x1  6 P 2.88
Tm  0.5000  0.0000  0.5000 x1  6 P 2.82-2.83
Tm  0.5000  0.5000  0.0000 x1  6 P 2.80-2.81
P  0.2581  0.0000  0.7553 x2  3 Tm 2.81-2.83, 1 Ce 2.86, 2 Sm 2.88
P  0.2578  0.5000  0.2510 x2  3 Tm 2.80-2.82, 2 Ce 2.87, 1 Sm 2.88

Density of states at the Fermi level in states/eV per cell: 5.5
ρ in Mg/m³: 6.80
Calculated formation energy in eV/f.u.: -12.6

# 6
Density functional theory data (PBE-GGA) for a relaxed Ce2Sm3TmP6 crystal.

Cell lengths 7.0466, 12.2057, 7.0560 Å; angles 90.00, 109.45, 90.00 degrees
Closest atoms and distances in Å follow each position.
Space group C2/m (No. 12)
Asymmetric unit:
Ce  0.0000  0.1665  0.0000 x4  6 P 2.86
Sm  0.0000  0.0000  0.5000 x2  6 P 2.90-2.91
Sm  0.0000  0.3329  0.5000 x4  6 P 2.90-2.91
Tm  0.0000  0.5000  0.0000 x2  6 P 2.84
P  0.2465  0.3344  0.2429 x8  1 Tm 2.84, 2 Ce 2.86, 3 Sm 2.90-2.91
P  0.2504  0.0000  0.2444 x4  1 Tm 2.84, 2 Ce 2.86, 3 Sm 2.90-2.91

Density of states at the Fermi level in states/eV per cell: 18.5
ρ in Mg/m³: 6.30
Calculated formation energy in eV/f.u.: -18.7

# 7
Density functional theory data (PBE-GGA) for a relaxed Ce3SmTm2P6 crystal.

Cell lengths 7.0103, 12.1443, 6.9919 Å; angles 90.00, 109.54, 90.00 degrees
Closest atoms and distances in Å follow each position.
Space group C2/m (No. 12)
Asymmetric unit:
Ce  0.0000  0.0000  0.0000 x2  6 P 2.84-2.89
Ce  0.0000  0.3345  0.0000 x4  6 P 2.85-2.89
Sm  0.0000  0.5000  0.5000 x2  6 P 2.88
Tm  0.0000  0.1670  0.5000 x4  6 P 2.83
P  0.2428  0.0000  0.7456 x4  2 Tm 2.83, 3 Ce 2.84-2.88, 1 Sm 2.88
P  0.2482  0.1695  0.2532 x8  2 Tm 2.83, 3 Ce 2.85-2.89, 1 Sm 2.88

Density of states at the Fermi level in states/eV per cell: 27.9
ρ in Mg/m³: 6.48
Calculated formation energy in eV/f.u.: -18.5

# 8
Density functional theory data (PBE-GGA) for a relaxed Ce2SmTm3P6 crystal.

Cell lengths 6.9674, 12.0669, 6.9450 Å; angles 90.00, 109.53, 90.00 degrees
Closest atoms and distances in Å follow each position.
Space group C2/m (No. 12)
Asymmetric unit:
Ce  0.0000  0.1668  0.0000 x4  6 P 2.86-2.87
Sm  0.0000  0.5000  0.0000 x2  6 P 2.88-2.89
Tm  0.0000  0.0000  0.5000 x2  6 P 2.79-2.82
Tm  0.0000  0.3339  0.5000 x4  6 P 2.80-2.82
P  0.2462  0.1680  0.7429 x8  3 Tm 2.80-2.82, 2 Ce 2.86, 1 Sm 2.88
P  0.2500  0.0000  0.2582 x4  3 Tm 2.79-2.81, 2 Ce 2.87, 1 Sm 2.89

Density of states at the Fermi level in states/eV per cell: 19.8
ρ in Mg/m³: 6.78
Calculated formation energy in eV/f.u.: -18.8

What is the calculated formation energy in the fifth record?
-12.6 eV/f.u.

Number 4 is which compound?
Ce3Sm2TmP6